1.
Compound: Li2ScMo
Source: Alexandria via LeMat-Bulk
Functional: PBEsol
Structure: relaxed

Calculated values
The raw total energy comes out at -5.0902 eV/atom. For the formation energy, the calculation gives 46.9 kJ per mole of atoms.

Unit cell a=2.647 b=4.954 c=5.211 alpha=90.00 beta=90.00 gamma=90.00
Space group Pmmm (No. 47)
Unique sites:
Li (0.000, 0.000, 0.223) x2
Sc (0.500, 0.500, 0.500) x1
Mo (0.500, 0.500, 0.000) x1



2.
Compound: IrOsSe
Source: Alexandria via LeMat-Bulk
Functional: PBEsol
Structure: relaxed

Calculated values
For the formation energy from raw total energies, the calculation gives 0.73 eV per atom. The raw total energy comes out at -7.8980 eV/atom. As for the energy relative to the lowest polymorph listed for this composition: 225 meV per atom.

Unit cell a=2.736 b=4.787 c=14.039 alpha=90.00 beta=90.00 gamma=90.00
Space group Fmm2 (No. 42)
Unique sites:
Ir (0.000, 0.000, 0.000) x4
Os (0.000, 0.000, 0.658) x4
Se (0.000, 0.000, 0.324) x4



3.
Compound: MgMn3Si
Source: Alexandria via LeMat-Bulk
Functional: PBEsol
Structure: relaxed

Calculated values
For the formation energy from raw total energies, the calculation gives 1.63 eV per atom. The raw total energy comes out at -5.7157 eV/atom. As for the energy relative to the lowest polymorph listed for this composition: 1058 meV per atom.

Unit cell a=4.520 b=4.520 c=4.520 alpha=90.00 beta=90.00 gamma=90.00
Space group Pm-3m (No. 221)
Unique sites:
Mg (0.000, 0.000, 0.000) x1
Mn (0.000, 0.000, 0.500) x3
Si (0.500, 0.500, 0.500) x1